[1]
HfNpAlO6: optimized geometry, PBE-GGA.

Cell: 5.1523 5.1523 9.4345 Å, 90.00 90.00 120.00°
Space group P-31c (No. 163)
Asymmetric unit:
Hf 0.3333 0.6667 0.2500 x2
Np 0.0000 0.0000 0.0000 x2
Al 0.3333 0.6667 0.7500 x2
O 0.0215 0.3536 0.6352 x12

Summary:
raw formation energy = -3047 meV per atom
crystal system = trigonal



[2]
Ho4TlZn: optimized geometry, PBE-GGA.

Cell: 5.005 5.005 7.247 Å, 90.00 90.00 90.00°
Space group P4/mmm (No. 123)
Asymmetric unit:
Ho 0.000 0.500 0.234 x4
Tl 0.000 0.000 0.500 x1
Zn 0.500 0.500 0.000 x1

Summary:
E_form = 0.00 eV/atom
ΔE to the lowest computed polymorph = 1.316 eV/f.u.
crystal system = tetragonal



[3]
EuTl2Cu: optimized geometry, PBE-GGA.

Cell: 3.594 3.594 7.691 Å, 90.00 90.00 90.00°
Space group P4/mmm (No. 123)
Asymmetric unit:
Eu 0.000 0.000 0.000 x1
Tl 0.500 0.500 0.297 x2
Cu 0.000 0.000 0.500 x1

Summary:
E_form = -0.05 eV/atom
ΔE to the lowest computed polymorph = 0.216 eV/f.u.
crystal system = tetragonal



[4]
AcPr3As4: optimized geometry, PBE-GGA.

Cell: 6.185 6.185 6.185 Å, 90.00 90.00 90.00°
Space group Pm-3m (No. 221)
Asymmetric unit:
Ac 0.000 0.000 0.000 x1
Pr 0.000 0.500 0.500 x3
As 0.000 0.000 0.500 x3
As 0.500 0.500 0.500 x1

Summary:
E_form = -1.47 eV/atom
crystal system = cubic



[5]
CuHg2GeS4: optimized geometry, PBE-GGA.

Cell: 8.299 6.972 6.540 Å, 90.00 90.00 90.00°
Space group Pmn2_1 (No. 31)
Asymmetric unit:
Cu 0.000 0.155 0.000 x2
Hg 0.248 0.328 0.501 x4
Ge 0.000 0.817 0.490 x2
S 0.000 0.137 0.358 x2
S 0.000 0.853 0.857 x2
S 0.228 0.312 0.899 x4

Summary:
raw formation energy = -147 meV per atom
crystal system = orthorhombic



[6]
Ti4InO: optimized geometry, PBE-GGA.

Cell: 3.957 3.957 6.831 Å, 90.00 90.00 90.00°
Space group P4/mmm (No. 123)
Asymmetric unit:
Ti 0.000 0.000 0.185 x2
Ti 0.000 0.500 0.500 x2
In 0.500 0.500 0.000 x1
O 0.000 0.000 0.500 x1

Summary:
raw formation energy = -425 meV per atom
ΔE to the lowest computed polymorph = 3.099 eV/f.u.
crystal system = tetragonal



[7]
MgTi5Pd6: optimized geometry, PBE-GGA.

Cell: 4.124 7.446 12.297 Å, 90.00 90.00 90.00°
Space group Immm (No. 71)
Asymmetric unit:
Mg 0.000 0.000 0.000 x2
Ti 0.000 0.000 0.346 x4
Ti 0.000 0.500 0.000 x2
Ti 0.000 0.500 0.319 x4
Pd 0.000 0.242 0.169 x8
Pd 0.000 0.267 0.500 x4

Summary:
E_form = -0.54 eV/atom
crystal system = orthorhombic



[8]
DyTm2Pb: optimized geometry, PBE-GGA.

Cell: 7.691 7.691 7.691 Å, 90.00 90.00 90.00°
Space group F-43m (No. 216)
Asymmetric unit:
Dy 0.000 0.000 0.000 x4
Tm 0.000 0.000 0.500 x4
Tm 0.250 0.250 0.750 x4
Pb 0.250 0.250 0.250 x4

Summary:
E_form = -0.08 eV/atom
ΔE to the lowest computed polymorph = 0.831 eV/f.u.
crystal system = cubic



[9]
Ca3Np3PdSe8: optimized geometry, PBE-GGA.

Cell: 8.1152 8.1152 20.7437 Å, 90.00 90.00 120.00°
Space group R-3m (No. 166, hexagonal axes)
Asymmetric unit:
Ca 0.0000 0.5000 0.0000 x9
Np 0.0000 0.5000 0.5000 x9
Pd 0.0000 0.0000 0.5000 x3
Se 0.0000 0.0000 0.2499 x6
Se 0.0034 0.5017 0.2458 x18

Summary:
raw formation energy = -1285 meV per atom
crystal system = trigonal



[10]
Rb2Ge2Sb: optimized geometry, PBE-GGA.

Cell: 7.948 13.756 8.451 Å, 90.00 114.36 90.00°
Space group C2/m (No. 12)
Asymmetric unit:
Rb 0.215 0.145 0.276 x8
Ge 0.152 0.500 0.313 x4
Ge 0.207 0.000 0.896 x4
Sb 0.000 0.368 0.000 x4

Summary:
raw formation energy = -44 meV per atom
ΔE to the lowest computed polymorph = 0.000 eV/f.u.
crystal system = monoclinic



[11]
U2ReSn: optimized geometry, PBE-GGA.

Cell: 3.0532 3.0532 30.5796 Å, 90.00 90.00 120.00°
Space group R-3m (No. 166, hexagonal axes)
Asymmetric unit:
U 0.0000 0.0000 0.2417 x6
Re 0.0000 0.0000 0.5000 x3
Sn 0.0000 0.0000 0.0000 x3

Summary:
E_form = 0.18 eV/atom
ΔE to the lowest computed polymorph = 0.222 eV/f.u.
crystal system = trigonal



[12]
CaTh4O10: optimized geometry, PBE-GGA.

Cell: 3.9736 3.9736 48.3748 Å, 90.00 90.00 120.00°
Space group R-3m (No. 166, hexagonal axes)
Asymmetric unit:
Ca 0.0000 0.0000 0.0000 x3
Th 0.0000 0.0000 0.2002 x6
Th 0.0000 0.0000 0.3992 x6
O 0.0000 0.0000 0.0505 x6
O 0.0000 0.0000 0.1499 x6
O 0.0000 0.0000 0.2503 x6
O 0.0000 0.0000 0.3497 x6
O 0.0000 0.0000 0.4497 x6

Summary:
raw formation energy = -3391 meV per atom
crystal system = trigonal



| no. | final energy (eV per atom) |
| --- | --- |
| 1 | -9.31 |
| 2 | -3.66 |
| 3 | -4.83 |
| 4 | -6.10 |
| 5 | -3.38 |
| 6 | -6.97 |
| 7 | -6.55 |
| 8 | -4.39 |
| 9 | -6.48 |
| 10 | -3.10 |
| 11 | -9.58 |
| 12 | -8.81 |